No. 1
Density functional theory data (PBE-GGA) for an optimized crystal structure of Pa4GeTe2Se.

Values from the calculation:
**Symmetry**: No. 10
**Formation energy without anion corrections**: -757 meV/atom

Cell and atoms, written as POSCAR:
```
Pa4GeTe2Se
1.0
4.180 0.000 0.000
0.000 7.008 0.043
0.000 -2.534 7.227
Pa Ge Se Te
4 1 1 2
Direct
0.000 0.743 0.223
0.500 0.237 0.221
0.000 0.257 0.777
0.500 0.763 0.779
0.500 0.500 0.000
0.000 0.000 0.000
0.000 0.500 0.500
0.500 0.000 0.500
```

***

No. 2
Density functional theory data (PBE-GGA) for an optimized crystal structure of Pm6Ho5Th.

Values from the calculation:
**Symmetry**: No. 71
**Formation energy from the elements**: 30 meV/atom

Cell and atoms, written as POSCAR:
```
Pm6Ho5Th
1.0
-2.012 4.676 -0.140
-9.323 -4.008 0.120
5.669 -0.110 7.625
Pm Th Ho
6 1 5
Direct
0.500 0.752 0.000
0.500 0.248 0.000
0.165 0.915 0.329
0.165 0.415 0.329
0.835 0.085 0.671
0.835 0.585 0.671
0.000 0.000 0.000
0.664 0.164 0.329
0.336 0.836 0.671
0.668 0.668 0.336
0.332 0.332 0.664
0.000 0.500 0.000
```

***

No. 3
Density functional theory data (PBE-GGA) for an optimized crystal structure of AlFe2Ni6.

Values from the calculation:
**Symmetry**: No. 189
**Formation energy from the elements**: -124 meV/atom
**Distance to the lowest polymorph of the same formula**: 0.00 eV per formula unit

Cell and atoms, written as POSCAR:
```
AlFe2Ni6
1.0
2.517 0.000 0.000
0.000 5.946 -3.433
0.000 0.000 6.866
Ni Fe Al
6 2 1
Direct
0.500 0.361 0.000
0.500 0.639 0.639
0.000 0.694 0.000
0.000 0.306 0.306
0.500 0.000 0.361
0.000 0.000 0.694
0.000 0.667 0.333
0.000 0.333 0.667
0.500 0.000 0.000
```

***

| no. | E (eV per formula unit) |
| --- | --- |
| 1 | -58.4 |
| 2 | -58.5 |
| 3 | -56.5 |